Density functional theory data (PBE) for an optimized crystal structure of Y2BS4.

## Properties
- Energy above the most stable polymorph in this dataset: 0 meV/atom
- Energy relative to the elements, uncorrected: -1.33 eV/atom
- Calculated density: 3.9 g/cm³
- Crystal system: monoclinic

Geometry as CIF:
```
data_Y2BS4
_chemical_formula_sum 'Y4 B2 S8'
_symmetry_space_group_name_H-M 'P 1 21/m 1'
_symmetry_Int_Tables_number 11
_cell_length_a 6.300
_cell_length_b 6.077
_cell_length_c 7.331
_cell_angle_alpha 90.00
_cell_angle_beta 106.93
_cell_angle_gamma 90.00
loop_
_symmetry_equiv_pos_as_xyz
'x,y,z'
'-x,-y,-z'
'-x,y+1/2,-z'
'x,-y+1/2,z'
loop_
_atom_site_label
_atom_site_fract_x
_atom_site_fract_y
_atom_site_fract_z
Y1 0.236 0.250 0.437
Y2 0.260 0.250 0.938
B1 0.280 0.750 0.198
S1 0.102 0.750 0.381
S2 0.110 0.750 0.926
S3 0.480 0.507 0.252
```